NbI2NF | PBEsol | relaxed

## Properties
Magnetization, μB/cell: 0.2
DFT total energy, eV per formula unit: -18.8
Energy relative to the elements, uncorrected, eV/atom: 1.198
Symmetry: No. 123

Lattice parameters (Å, degrees): 3.478 5.272 5.272 90.00 90.00 90.00
Last column: magnetic moment on the atom in μB.
Fractional positions:
I: 0.000 0.000 0.500  0.16
I: 0.000 0.500 0.000  0.16
Nb: 0.500 0.500 0.500  -1.42
N: 0.500 0.000 0.000  1.10
F: 0.000 0.000 0.000  0.05